[1]
Density functional theory data (PBE-GGA) for a relaxed ThTiHg crystal.

Results
Its space group is P-6m2. The value obtained for the total energy is -5.1046 eV/atom. For the total moment, the calculation gives 0.11 Bohr magnetons per cell.

```
ThTiHg
1.0
4.682 0.000 0.000
-2.341 4.055 0.000
0.000 0.000 4.024
Th Ti Hg
1 1 1
Direct
0.000 0.000 0.000
0.333 0.667 0.500
0.667 0.333 0.500
```

[2]
Density functional theory data (PBE-GGA) for a relaxed NaSrIrRu2 crystal.

Results
Its space group is P4/mmm. The value obtained for the total energy is -5.2137 eV/atom. For the total moment, the calculation gives 0.32 Bohr magnetons per cell.

```
NaSrIrRu2
1.0
4.796 0.000 0.000
0.000 4.796 0.000
0.000 0.000 5.592
Na Sr Ir Ru
1 1 1 2
Direct
0.000 0.000 0.000
0.500 0.500 0.000
0.500 0.500 0.500
0.000 0.500 0.500
0.500 0.000 0.500
```

[3]
Density functional theory data (PBE-GGA) for a relaxed NaTl2HgPd crystal.

Results
Its space group is Imm2. The value obtained for the total energy is -2.3609 eV/atom. For the total moment, the calculation gives 0.00 Bohr magnetons per cell.

```
NaTl2HgPd
1.0
-1.755 2.653 6.834
1.755 -2.653 6.834
1.755 2.653 -6.834
Na Tl Hg Pd
1 2 1 1
Direct
0.000 0.000 0.000
0.441 0.441 0.000
0.775 0.775 0.000
0.210 0.210 0.000
0.609 0.109 0.500
```

[4]
Density functional theory data (PBE-GGA) for a relaxed MoRuRh2 crystal.

Results
Its space group is P4/mmm. The value obtained for the total energy is -8.8507 eV/atom. For the total moment, the calculation gives 0.00 Bohr magnetons per cell.

```
MoRuRh2
1.0
3.835 0.000 0.000
0.000 3.835 0.000
0.000 0.000 3.914
Mo Ru Rh
1 1 2
Direct
0.000 0.000 0.000
0.500 0.500 0.000
0.000 0.500 0.500
0.500 0.000 0.500
```

What is the formula in the second record? NaSrIrRu2

What is the total moment in the second record? 0.32 Bohr magnetons per cell

Which value of total moment does entry 4 give? 0.00 Bohr magnetons per cell

What is the total moment in the second record? 0.32 Bohr magnetons per cell